Entry 1:
## PmPa2N4 (PBE)

Data for PmPa2N4 after structural relaxation.

Results
The total energy comes out at -68.16 eV/f.u.

Structure (CIF):
```
data_PmPa2N4
_chemical_formula_sum 'Pm4 Pa8 N16'
_space_group_name_H-M_alt 'C m c m'
_space_group_IT_number 63
_space_group_name_Hall '-C 2c 2'
_cell_length_a 3.452
_cell_length_b 11.543
_cell_length_c 10.746
_cell_angle_alpha 90.00
_cell_angle_beta 90.00
_cell_angle_gamma 90.00
loop_
_atom_site_label
_atom_site_type_symbol
_atom_site_fract_x
_atom_site_fract_y
_atom_site_fract_z
Pm1 Pm 0.000 0.110 0.250
Pa1 Pa 0.000 0.369 0.071
N1 N 0.000 0.000 0.000
N2 N 0.000 0.271 0.606
N3 N 0.000 0.463 0.250
```

***

Entry 2:
## PrPa7N12 (PBE)

Data for PrPa7N12 after structural relaxation.

Results
The total energy comes out at -200.63 eV/f.u.

Structure (CIF):
```
data_PrPa7N12
_chemical_formula_sum 'Pr2 Pa14 N24'
_space_group_name_H-M_alt 'I m -3'
_space_group_IT_number 204
_space_group_name_Hall '-I 2 2 3'
_cell_length_a 8.533
_cell_length_b 8.533
_cell_length_c 8.533
_cell_angle_alpha 90.00
_cell_angle_beta 90.00
_cell_angle_gamma 90.00
loop_
_atom_site_label
_atom_site_type_symbol
_atom_site_fract_x
_atom_site_fract_y
_atom_site_fract_z
Pr1 Pr 0.000 0.000 0.000
Pa1 Pa 0.000 0.000 0.500
Pa2 Pa 0.250 0.250 0.250
N1 N 0.000 0.311 0.181
```

***

Entry 3:
## Pr5PaN6 (PBE)

Data for Pr5PaN6 after structural relaxation.

Results
The total energy comes out at -100.54 eV/f.u.

Structure (CIF):
```
data_Pr5PaN6
_chemical_formula_sum 'Pr10 Pa2 N12'
_space_group_name_H-M_alt 'C 1 2/m 1'
_space_group_IT_number 12
_space_group_name_Hall '-C 2y'
_cell_length_a 6.308
_cell_length_b 10.913
_cell_length_c 6.295
_cell_angle_alpha 90.00
_cell_angle_beta 109.54
_cell_angle_gamma 90.00
loop_
_atom_site_label
_atom_site_type_symbol
_atom_site_fract_x
_atom_site_fract_y
_atom_site_fract_z
Pr1 Pr 0.000 0.000 0.000
Pr2 Pr 0.000 0.167 0.500
Pr3 Pr 0.000 0.334 0.000
Pa1 Pa 0.000 0.500 0.500
N1 N 0.228 0.500 0.264
N2 N 0.230 0.347 0.733
```

***

Entry 4:
## Rb2PaWN4 (PBE)

Data for Rb2PaWN4 after structural relaxation.

Results
The total energy comes out at -63.31 eV/f.u.

Structure (CIF):
```
data_Rb2PaWN4
_chemical_formula_sum 'Rb4 Pa2 W2 N8'
_space_group_name_H-M_alt 'I -4'
_space_group_IT_number 82
_space_group_name_Hall 'I -4'
_cell_length_a 6.184
_cell_length_b 6.184
_cell_length_c 8.910
_cell_angle_alpha 90.00
_cell_angle_beta 90.00
_cell_angle_gamma 90.00
loop_
_atom_site_label
_atom_site_type_symbol
_atom_site_fract_x
_atom_site_fract_y
_atom_site_fract_z
Rb1 Rb 0.000 0.000 0.000
Rb2 Rb 0.000 0.500 0.250
Pa1 Pa 0.000 0.000 0.500
W1 W 0.000 0.500 0.750
N1 N 0.116 0.276 0.631
```

***

Entry 5:
## PaSN (PBE)

Data for PaSN after structural relaxation.

Results
The total energy comes out at -27.51 eV/f.u.

Structure (CIF):
```
data_PaSN
_chemical_formula_sum 'Pa2 S2 N2'
_space_group_name_H-M_alt 'P 4/n m m'
_space_group_IT_number 129
_cell_length_a 3.830
_cell_length_b 3.830
_cell_length_c 6.672
_cell_angle_alpha 90.00
_cell_angle_beta 90.00
_cell_angle_gamma 90.00
loop_
_space_group_symop_operation_xyz
'x,y,z'
'-x,-y,-z'
'-y+1/2,x,z'
'y+1/2,-x,-z'
'-x+1/2,-y+1/2,z'
'x+1/2,y+1/2,-z'
'y,-x+1/2,z'
'-y,x+1/2,-z'
'x+1/2,-y,-z'
'-x+1/2,y,z'
'-y,-x,-z'
'y,x,z'
'-x,y+1/2,-z'
'x,-y+1/2,z'
'y+1/2,x+1/2,-z'
'-y+1/2,-x+1/2,z'
loop_
_atom_site_label
_atom_site_type_symbol
_atom_site_fract_x
_atom_site_fract_y
_atom_site_fract_z
Pa1 Pa 0.250 0.250 0.186
S1 S 0.250 0.250 0.631
N1 N 0.250 0.750 0.000
```

***

Entry 6:
## PaSbN (PBE)

Data for PaSbN after structural relaxation.

Results
The total energy comes out at -25.36 eV/f.u.

Structure (CIF):
```
data_PaSbN
_chemical_formula_sum 'Pa2 Sb2 N2'
_space_group_name_H-M_alt 'P 4/n m m'
_space_group_IT_number 129
_cell_length_a 4.171
_cell_length_b 4.171
_cell_length_c 7.291
_cell_angle_alpha 90.00
_cell_angle_beta 90.00
_cell_angle_gamma 90.00
loop_
_space_group_symop_operation_xyz
'x,y,z'
'-x,-y,-z'
'-y+1/2,x,z'
'y+1/2,-x,-z'
'-x+1/2,-y+1/2,z'
'x+1/2,y+1/2,-z'
'y,-x+1/2,z'
'-y,x+1/2,-z'
'x+1/2,-y,-z'
'-x+1/2,y,z'
'-y,-x,-z'
'y,x,z'
'-x,y+1/2,-z'
'x,-y+1/2,z'
'y+1/2,x+1/2,-z'
'-y+1/2,-x+1/2,z'
loop_
_atom_site_label
_atom_site_type_symbol
_atom_site_fract_x
_atom_site_fract_y
_atom_site_fract_z
Pa1 Pa 0.250 0.250 0.145
Sb1 Sb 0.250 0.750 0.500
N1 N 0.250 0.750 0.000
```

***

Entry 7:
## PaSeN (PBE)

Data for PaSeN after structural relaxation.

Results
The total energy comes out at -26.36 eV/f.u.

Structure (CIF):
```
data_PaSeN
_chemical_formula_sum 'Pa6 Se6 N6'
_space_group_name_H-M_alt 'R -3 m'
_space_group_IT_number 166
_space_group_name_Hall '-R 3 2"'
_cell_length_a 3.9065
_cell_length_b 3.9065
_cell_length_c 30.5487
_cell_angle_alpha 90.00
_cell_angle_beta 90.00
_cell_angle_gamma 120.00
loop_
_atom_site_label
_atom_site_type_symbol
_atom_site_fract_x
_atom_site_fract_y
_atom_site_fract_z
Pa1 Pa 0.0000 0.0000 0.2146
Se1 Se 0.0000 0.0000 0.3948
N1 N 0.0000 0.0000 0.1398
```

***

Entry 8:
## Sm4PaN5 (PBE)

Data for Sm4PaN5 after structural relaxation.

Results
The total energy comes out at -85.81 eV/f.u.

Structure (CIF):
```
data_Sm4PaN5
_chemical_formula_sum 'Sm8 Pa2 N10'
_space_group_name_H-M_alt 'I 4/m'
_space_group_IT_number 87
_space_group_name_Hall '-I 4'
_cell_length_a 7.938
_cell_length_b 7.938
_cell_length_c 5.020
_cell_angle_alpha 90.00
_cell_angle_beta 90.00
_cell_angle_gamma 90.00
loop_
_atom_site_label
_atom_site_type_symbol
_atom_site_fract_x
_atom_site_fract_y
_atom_site_fract_z
Sm1 Sm 0.100 0.302 0.000
Pa1 Pa 0.000 0.000 0.500
N1 N 0.000 0.000 0.000
N2 N 0.092 0.279 0.500
```

***

Entry 9:
## SrPa7N12 (PBE)

Data for SrPa7N12 after structural relaxation.

Results
The total energy comes out at -198.49 eV/f.u.

Structure (CIF):
```
data_SrPa7N12
_chemical_formula_sum 'Sr2 Pa14 N24'
_space_group_name_H-M_alt 'I m -3'
_space_group_IT_number 204
_space_group_name_Hall '-I 2 2 3'
_cell_length_a 8.534
_cell_length_b 8.534
_cell_length_c 8.534
_cell_angle_alpha 90.00
_cell_angle_beta 90.00
_cell_angle_gamma 90.00
loop_
_atom_site_label
_atom_site_type_symbol
_atom_site_fract_x
_atom_site_fract_y
_atom_site_fract_z
Sr1 Sr 0.000 0.000 0.000
Pa1 Pa 0.000 0.000 0.500
Pa2 Pa 0.250 0.250 0.250
N1 N 0.000 0.316 0.185
```

***

Entry 10:
## Sr3PaN4 (PBE)

Data for Sr3PaN4 after structural relaxation.

Results
The total energy comes out at -55.80 eV/f.u.

Structure (CIF):
```
data_Sr3PaN4
_chemical_formula_sum 'Sr6 Pa2 N8'
_space_group_name_H-M_alt 'P m n 21'
_space_group_IT_number 31
_space_group_name_Hall 'P 2ac -2'
_cell_length_a 10.358
_cell_length_b 5.267
_cell_length_c 5.268
_cell_angle_alpha 90.00
_cell_angle_beta 90.00
_cell_angle_gamma 90.00
loop_
_atom_site_label
_atom_site_type_symbol
_atom_site_fract_x
_atom_site_fract_y
_atom_site_fract_z
Sr1 Sr 0.000 0.244 0.000
Sr2 Sr 0.250 0.251 0.496
Pa1 Pa 0.000 0.729 0.516
N1 N 0.000 0.306 0.497
N2 N 0.000 0.745 0.940
N3 N 0.202 0.756 0.489
```

***

Entry 11:
## Pa3TaN6 (PBE)

Data for Pa3TaN6 after structural relaxation.

Results
The total energy comes out at -105.90 eV/f.u.

Structure (CIF):
```
data_Pa3TaN6
_chemical_formula_sum 'Pa12 Ta4 N24'
_space_group_name_H-M_alt 'C m c 21'
_space_group_IT_number 36
_space_group_name_Hall 'C 2c -2'
_cell_length_a 9.234
_cell_length_b 10.982
_cell_length_c 5.535
_cell_angle_alpha 90.00
_cell_angle_beta 90.00
_cell_angle_gamma 90.00
loop_
_atom_site_label
_atom_site_type_symbol
_atom_site_fract_x
_atom_site_fract_y
_atom_site_fract_z
Pa1 Pa 0.000 0.109 0.000
Pa2 Pa 0.201 0.390 0.950
Ta1 Ta 0.000 0.346 0.433
N1 N 0.000 0.280 0.780
N2 N 0.000 0.483 0.166
N3 N 0.151 0.249 0.256
N4 N 0.152 0.011 0.724
```

***

Entry 12:
## TbPa2N4 (PBE)

Data for TbPa2N4 after structural relaxation.

Results
The total energy comes out at -67.55 eV/f.u.

Structure (CIF):
```
data_TbPa2N4
_chemical_formula_sum 'Tb4 Pa8 N16'
_space_group_name_H-M_alt 'I -4 2 d'
_space_group_IT_number 122
_space_group_name_Hall 'I -4 2bw'
_cell_length_a 7.385
_cell_length_b 7.385
_cell_length_c 7.025
_cell_angle_alpha 90.00
_cell_angle_beta 90.00
_cell_angle_gamma 90.00
loop_
_atom_site_label
_atom_site_type_symbol
_atom_site_fract_x
_atom_site_fract_y
_atom_site_fract_z
Tb1 Tb 0.000 0.000 0.000
Pa1 Pa 0.141 0.250 0.625
N1 N 0.063 0.182 0.320
```